a.
## Ac2EuSi (PBE)

Data for a relaxed structure of Ac2EuSi.

Crystal system: cubic
Space-group type: Fm-3m
Spin magnetization in μB per cell: 7.751

abc: 5.7232 5.7232 5.7232
angles: 60.00 60.00 60.00
With the nearest neighbours (Å) after each atom.
Atoms (fractional coordinates):
Si 0.0000 0.0000 0.0000  8 Ac 3.50
Eu 0.5000 0.5000 0.5000  8 Ac 3.50
Ac 0.2500 0.2500 0.2500  4 Eu 3.50, 4 Si 3.50
Ac 0.7500 0.7500 0.7500  4 Si 3.50, 4 Eu 3.50

=====

b.
## Ac2EuSi (PBE)

Data for a relaxed structure of Ac2EuSi.

Crystal system: tetragonal
Space-group type: P4/mmm
Spin magnetization in μB per cell: 8.416

abc: 4.0108 4.0108 9.0650
angles: 90.00 90.00 90.00
With the nearest neighbours (Å) after each atom.
Atoms (fractional coordinates):
Eu 0.5000 0.5000 0.5000  4 Eu 4.01, 8 Ac 4.03
Ac 0.0000 0.0000 0.8160  4 Si 3.29, 1 Ac 3.34
Si 0.5000 0.5000 0.0000  8 Ac 3.29
Ac 0.0000 0.0000 0.1840  4 Si 3.29, 1 Ac 3.34

=====

Relative energy table, unit kJ/mol of atoms: a 20.6; b 0.0

=====

a.
## Ac2EuSi (PBE)

Data for a relaxed structure of Ac2EuSi.

Crystal system: trigonal
Space-group type: R-3m
Spin magnetization in μB per cell: 8.465

abc: 4.3610 4.3610 10.5265
angles: 78.04 78.04 60.00
With the nearest neighbours (Å) after each atom.
Atoms (fractional coordinates):
Ac 0.2749 0.2749 0.1752  3 Si 3.09
Si 0.0000 0.0000 0.0000  6 Ac 3.09
Ac 0.7251 0.7251 0.8248  3 Si 3.09
Eu 0.5000 0.5000 0.5000  6 Ac 4.17, 6 Eu 4.36

=====

b.
## Ac2EuSi (PBE)

Data for a relaxed structure of Ac2EuSi.

Crystal system: tetragonal
Space-group type: P4/mmm
Spin magnetization in μB per cell: 7.810

abc: 4.7754 5.2294 5.2294
angles: 90.00 90.00 90.00
With the nearest neighbours (Å) after each atom.
Atoms (fractional coordinates):
Si 0.5000 0.5000 0.5000  8 Ac 3.54, 4 Eu 3.70
Ac 0.0000 0.0000 0.5000  4 Eu 3.54, 4 Si 3.54, 4 Ac 3.70
Ac 0.0000 0.5000 0.0000  4 Eu 3.54, 4 Si 3.54, 4 Ac 3.70
Eu 0.5000 0.0000 0.0000  8 Ac 3.54, 4 Si 3.70

=====

Relative energy table, unit kJ/mol of atoms: a 0.0; b 5.6

=====

a.
## AcEu2Si (PBE)

Data for a relaxed structure of AcEu2Si.

Crystal system: tetragonal
Space-group type: P4/mmm
Spin magnetization in μB per cell: 14.830

abc: 5.2012 4.8856 4.8856
angles: 90.00 90.00 90.00
With the nearest neighbours (Å) after each atom.
Atoms (fractional coordinates):
Eu 0.0000 0.0000 0.5000  4 Eu 3.45, 4 Ac 3.57, 4 Si 3.57
Ac 0.5000 0.5000 0.5000  4 Si 3.45, 8 Eu 3.57
Si 0.5000 0.0000 0.0000  4 Ac 3.45, 8 Eu 3.57
Eu 0.0000 0.5000 0.0000  4 Eu 3.45, 4 Ac 3.57, 4 Si 3.57

=====

b.
## AcEu2Si (PBE)

Data for a relaxed structure of AcEu2Si.

Crystal system: tetragonal
Space-group type: P4/mmm
Spin magnetization in μB per cell: 14.032

abc: 3.7729 3.7729 9.4632
angles: 90.00 90.00 90.00
With the nearest neighbours (Å) after each atom.
Atoms (fractional coordinates):
Ac 0.5000 0.5000 0.5000  4 Ac 3.77, 8 Eu 4.07
Si 0.5000 0.5000 0.0000  8 Eu 3.14
Eu 0.0000 0.0000 0.8249  4 Si 3.14, 1 Eu 3.31
Eu 0.0000 0.0000 0.1751  4 Si 3.14, 1 Eu 3.31

=====

Relative energy table, unit kJ/mol of atoms: a 2.2; b 0.0

=====

a.
## AcSm2Eu (PBE)

Data for a relaxed structure of AcSm2Eu.

Crystal system: trigonal
Space-group type: R-3m
Spin magnetization in μB per cell: 7.861

abc: 3.6654 3.6654 13.3830
angles: 82.13 82.13 60.00
With the nearest neighbours (Å) after each atom.
Atoms (fractional coordinates):
Ac 0.0000 0.0000 0.0000  2 Sm 3.56, 6 Ac 3.67
Eu 0.5000 0.5000 0.5000  6 Eu 3.67, 6 Sm 3.71
Sm 0.0898 0.0898 0.7307  1 Ac 3.56, 6 Sm 3.67, 3 Eu 3.71
Sm 0.9102 0.9102 0.2693  1 Ac 3.56, 6 Sm 3.67, 3 Eu 3.71

=====

b.
## AcSm2Eu (PBE)

Data for a relaxed structure of AcSm2Eu.

Crystal system: tetragonal
Space-group type: P4/mmm
Spin magnetization in μB per cell: 7.318

abc: 5.3652 5.3102 5.3102
angles: 90.00 90.00 90.00
With the nearest neighbours (Å) after each atom.
Atoms (fractional coordinates):
Sm 0.0000 0.5000 0.0000  4 Sm 3.75, 4 Eu 3.77, 4 Ac 3.77
Eu 0.5000 0.5000 0.5000  4 Ac 3.75, 8 Sm 3.77
Ac 0.5000 0.0000 0.0000  4 Eu 3.75, 8 Sm 3.77
Sm 0.0000 0.0000 0.5000  4 Sm 3.75, 4 Eu 3.77, 4 Ac 3.77

=====

Relative energy table, unit kJ/mol of atoms: a 15.3; b 0.0

=====

a.
## AcEuTe (PBE)

Data for a relaxed structure of AcEuTe.

Crystal system: trigonal
Space-group type: P3m1
Spin magnetization in μB per cell: 7.687

abc: 4.3788 5.4413 5.4413
angles: 120.00 90.00 90.00
With the nearest neighbours (Å) after each atom.
Atoms (fractional coordinates):
Eu 0.5203 0.6667 0.3333  3 Te 3.15
Te 0.4599 0.3333 0.6667  3 Eu 3.15
Ac 0.0198 0.0000 0.0000  6 Te 3.69-3.98, 6 Eu 3.83

=====

b.
## AcEuTe (PBE)

Data for a relaxed structure of AcEuTe.

Crystal system: tetragonal
Space-group type: I4mm
Spin magnetization in μB per cell: 7.510

abc: 4.0488 4.0488 7.5883
angles: 105.47 105.47 90.00
With the nearest neighbours (Å) after each atom.
Atoms (fractional coordinates):
Eu 0.9204 0.9204 0.8408  4 Te 3.43
Ac 0.6432 0.6432 0.2864  4 Te 3.50, 1 Eu 3.90
Te 0.2864 0.2864 0.5728  4 Eu 3.43, 4 Ac 3.50

=====

Relative energy table, unit kJ/mol of atoms: a 22.7; b 0.0

=====

a.
## AcEu2Tm (PBE)

Data for a relaxed structure of AcEu2Tm.

Crystal system: cubic
Space-group type: Fm-3m
Spin magnetization in μB per cell: 14.444

abc: 6.0337 6.0337 6.0337
angles: 60.00 60.00 60.00
With the nearest neighbours (Å) after each atom.
Atoms (fractional coordinates):
Eu 0.7500 0.7500 0.7500  4 Ac 3.69, 4 Tm 3.69
Tm 0.0000 0.0000 0.0000  8 Eu 3.69
Eu 0.2500 0.2500 0.2500  4 Tm 3.69, 4 Ac 3.69
Ac 0.5000 0.5000 0.5000  8 Eu 3.69

=====

b.
## AcEu2Tm (PBE)

Data for a relaxed structure of AcEu2Tm.

Crystal system: tetragonal
Space-group type: P4/mmm
Spin magnetization in μB per cell: 15.304

abc: 3.7948 3.7948 10.7841
angles: 90.00 90.00 90.00
With the nearest neighbours (Å) after each atom.
Atoms (fractional coordinates):
Ac 0.5000 0.5000 0.5000  4 Ac 3.79, 8 Eu 3.93
Eu 0.0000 0.0000 0.2335  4 Tm 3.68, 4 Eu 3.79, 4 Ac 3.93
Eu 0.0000 0.0000 0.7665  4 Tm 3.68, 4 Eu 3.79, 4 Ac 3.93
Tm 0.5000 0.5000 0.0000  8 Eu 3.68, 4 Tm 3.79

=====

Relative energy table, unit kJ/mol of atoms: a 3.5; b 0.0